{"formula": "YPaAgPd", "functional": "PBE-GGA", "state": "optimized geometry", "energy_ev_per_cell": -24.753, "total_magnetization_mub_per_fu": 1.1, "formation_energy_mev_per_atom": -187, "cell": [[5.067, 0.000, 0.000], [2.533, 4.388, 0.000], [2.533, 1.463, 4.137]], "species": ["Pd", "Ag", "Y", "Pa"], "frac_coords": [[0.500, 0.500, 0.500], [0.000, 0.000, 0.000], [0.750, 0.750, 0.750], [0.250, 0.250, 0.250]]}